This record from the Alexandria database describes a relaxed structure of InC2. The functional is PBE-GGA.

a b c (Å): 4.352 4.352 5.466
angles (deg): 90.00 90.00 90.00
Sites, in units of the cell vectors:
1 In 0.000 0.000 0.000
2 In 0.500 0.500 0.500
3 C 0.103 0.103 0.500
4 C 0.397 0.603 0.000
5 C 0.603 0.397 0.000
6 C 0.897 0.897 0.500

The size of the total moment is 0.0 μB/cell. The calculation puts the energy of formation from the pure elements at 139 kJ/mol of atoms. The energy above the most stable polymorph in this dataset is 768 meV/atom. Its density of states at the Fermi level is 0.36 states/eV/atom. Its crystal system is tetragonal.